Record 1
## TmZn3Pb4O12 (PBE-GGA)

Data for an optimized crystal structure of TmZn3Pb4O12.

```
TmZn3Pb4O12
1.0
-4.027 4.027 4.027
4.027 -4.027 4.027
4.027 4.027 -4.027
Tm Zn Pb O
1 3 4 12
Cartesian
0.000 0.000 0.000
4.027 0.000 0.000
0.000 4.027 0.000
0.000 0.000 4.027
2.013 2.013 -2.013
2.013 -2.013 2.013
-2.013 2.013 2.013
2.013 2.013 2.013
4.027 2.749 -1.603
2.424 0.000 1.278
5.629 0.000 1.278
1.278 2.424 0.000
2.749 -1.603 4.027
0.000 1.278 2.424
4.027 2.749 1.603
1.278 5.629 0.000
2.749 1.603 4.027
-1.603 4.027 2.749
1.603 4.027 2.749
0.000 1.278 5.629
```

The total energy is -5.311 eV per atom. The space group is No. 204.


Record 2
## Ta2In3W4C3 (PBE-GGA)

Data for an optimized crystal structure of Ta2In3W4C3.

```
Ta2In3W4C3
1.0
4.734 -2.734 0.000
4.734 2.734 0.000
-3.143 0.000 14.115
Ta In W C
4 6 8 6
Cartesian
2.356 2.270 8.254
2.398 2.270 12.919
3.927 -2.270 1.197
3.969 -2.270 5.861
-0.714 0.489 10.573
0.857 -0.489 3.516
2.377 0.377 10.586
3.948 -0.377 3.529
5.468 0.489 10.600
7.039 -0.489 3.542
2.388 0.469 1.115
2.368 0.433 5.943
0.816 -0.469 8.173
0.797 -0.433 13.000
5.528 0.433 1.115
5.509 0.469 5.943
3.957 -0.433 8.173
3.937 -0.469 13.000
0.796 1.367 7.058
3.960 1.386 0.000
3.937 1.386 7.058
2.367 -1.367 0.000
2.388 -1.386 7.058
5.508 -1.386 0.000
```

The total energy is -9.258 eV per atom. The space group is No. 15.


Record 3
## ZrMo (PBE-GGA)

Data for an optimized crystal structure of ZrMo.

```
ZrMo
1.0
4.719 0.000 0.000
0.000 4.761 0.000
0.000 0.000 3.321
Zr Mo
2 2
Cartesian
0.000 0.000 0.000
2.360 2.380 0.000
0.000 2.380 1.661
2.360 0.000 1.661
```

The calculation puts the calculated formation energy at 0.07 eV per atom. The total energy is -9.623 eV per atom. The distance to the lowest polymorph of the same formula is 66 meV/atom. The space group is No. 65.


Record 4
## CsLaU (PBE-GGA)

Data for an optimized crystal structure of CsLaU.

```
CsLaU
1.0
7.692 0.000 0.000
0.000 7.692 0.000
0.000 0.000 7.692
Cs La U
4 4 4
Cartesian
0.000 0.000 0.000
0.000 3.846 3.846
3.846 0.000 3.846
3.846 3.846 0.000
1.923 1.923 5.769
1.923 5.769 1.923
5.769 1.923 1.923
5.769 5.769 5.769
1.923 1.923 1.923
1.923 5.769 5.769
5.769 1.923 5.769
5.769 5.769 1.923
```

The total energy is -3.805 eV per atom. The distance to the lowest polymorph of the same formula is 77 meV/atom. The space group is No. 216.


Record 5
## CdPtSO (PBE-GGA)

Data for an optimized crystal structure of CdPtSO.

```
CdPtSO
1.0
3.682 0.000 0.000
0.000 3.682 0.000
0.000 0.000 9.889
Cd Pt S O
2 2 2 2
Cartesian
0.921 0.921 1.176
2.762 2.762 8.712
0.921 0.921 6.163
2.762 2.762 3.725
0.921 0.921 3.740
2.762 2.762 6.148
0.921 2.762 0.000
2.762 0.921 0.000
```

The total energy is -4.075 eV per atom. The distance to the lowest polymorph of the same formula is 373 meV/atom. The space group is No. 129.


Record 6
## YCuSbPt (PBE-GGA)

Data for an optimized crystal structure of YCuSbPt.

```
YCuSbPt
1.0
6.790 0.000 0.000
0.000 6.790 0.000
0.000 0.000 6.790
Y Cu Sb Pt
4 4 4 4
Cartesian
0.000 0.000 0.000
0.000 3.395 3.395
3.395 0.000 3.395
3.395 3.395 0.000
1.697 1.697 5.092
1.697 5.092 1.697
5.092 1.697 1.697
5.092 5.092 5.092
0.000 0.000 3.395
0.000 3.395 0.000
3.395 0.000 0.000
3.395 3.395 3.395
1.697 1.697 1.697
1.697 5.092 5.092
5.092 1.697 5.092
5.092 5.092 1.697
```

The total energy is -5.696 eV per atom. The distance to the lowest polymorph of the same formula is 0 meV/atom. The space group is No. 216.